Run A
Material: SrTcPd3
Method: DFT, GGA-PBE
State: optimized geometry

- volume (Å³/atom) = 23.38

a b c (Å): 4.8896 4.8896 4.8896
angles (deg): 90.00 90.00 90.00
Positions (direct):
Sr 0.0000 0.0000 0.0000
Tc 0.5000 0.5000 0.5000
Pd 0.0000 0.5000 0.5000
Pd 0.5000 0.0000 0.5000
Pd 0.5000 0.5000 0.0000

Run B
Material: SrTcPd3
Method: DFT, GGA-PBE
State: optimized geometry

- volume (Å³/atom) = 26.20

a b c (Å): 5.0789 5.0789 5.0789
angles (deg): 90.00 90.00 90.00
Positions (direct):
Sr 0.0000 0.0000 0.0000
Tc 0.5000 0.5000 0.5000
Pd 0.0000 0.0000 0.5000
Pd 0.0000 0.5000 0.0000
Pd 0.5000 0.0000 0.0000

Most favorable structure: run A. The second most favorable one is 112.6 kJ/mol of atoms above it.

Run A
Material: SrTc3Pd
Method: DFT, GGA-PBE
State: optimized geometry

- volume (Å³/atom) = 20.70

a b c (Å): 4.6955 4.6955 4.6955
angles (deg): 90.00 90.00 90.00
Positions (direct):
Sr 0.0000 0.0000 0.0000
Tc 0.0000 0.0000 0.5000
Tc 0.0000 0.5000 0.0000
Tc 0.5000 0.0000 0.0000
Pd 0.5000 0.5000 0.5000

Run B
Material: SrTc3Pd
Method: DFT, GGA-PBE
State: optimized geometry

- volume (Å³/atom) = 22.58

a b c (Å): 4.8331 4.8331 4.8331
angles (deg): 90.00 90.00 90.00
Positions (direct):
Sr 0.0000 0.0000 0.0000
Tc 0.0000 0.5000 0.5000
Tc 0.5000 0.0000 0.5000
Tc 0.5000 0.5000 0.0000
Pd 0.5000 0.5000 0.5000

Most favorable structure: run B. The second most favorable one is 123.6 kJ/mol of atoms above it.

Run A
Material: SrTePd3
Method: DFT, GGA-PBE
State: optimized geometry

- volume (Å³/atom) = 27.39

a b c (Å): 5.1545 5.1545 5.1545
angles (deg): 90.00 90.00 90.00
Positions (direct):
Sr 0.0000 0.0000 0.0000
Te 0.5000 0.5000 0.5000
Pd 0.0000 0.0000 0.5000
Pd 0.0000 0.5000 0.0000
Pd 0.5000 0.0000 0.0000

Run B
Material: SrTePd3
Method: DFT, GGA-PBE
State: optimized geometry

- volume (Å³/atom) = 22.19

a b c (Å): 6.4528 6.4528 6.4528
angles (deg): 139.80 139.80 58.16
Positions (direct):
Sr 0.0000 0.0000 0.0000
Te 0.3610 0.3610 0.0000
Pd 0.2349 0.7349 0.5000
Pd 0.5890 0.5890 0.0000
Pd 0.7349 0.2349 0.5000

Run C
Material: SrTePd3
Method: DFT, GGA-PBE
State: optimized geometry

- volume (Å³/atom) = 25.70

a b c (Å): 5.0463 5.0463 5.0463
angles (deg): 90.00 90.00 90.00
Positions (direct):
Sr 0.0000 0.0000 0.0000
Te 0.5000 0.5000 0.5000
Pd 0.0000 0.5000 0.5000
Pd 0.5000 0.0000 0.5000
Pd 0.5000 0.5000 0.0000

Most favorable structure: run B. The second most favorable one is 15.5 kJ/mol of atoms above it.